VASP calculation (PBE) on a relaxed structure of CsYGe.

Geometry as CIF:
```
data_CsYGe
_chemical_formula_sum 'Cs2 Y2 Ge2'
_space_group_name_H-M_alt 'P 1'
_space_group_IT_number 1
_cell_length_a 4.944
_cell_length_b 4.945
_cell_length_c 13.019
_cell_angle_alpha 87.61
_cell_angle_beta 87.44
_cell_angle_gamma 60.08
loop_
_space_group_symop_operation_xyz
'x,y,z'
loop_
_atom_site_label
_atom_site_type_symbol
_atom_site_fract_x
_atom_site_fract_y
_atom_site_fract_z
Cs1 Cs 0.000 0.000 0.000
Cs2 Cs 0.386 0.376 0.375
Y1 Y 0.032 0.026 0.626
Y2 Y 0.686 0.682 0.775
Ge1 Ge 0.352 0.348 0.778
Ge2 Ge 0.704 0.697 0.555
```

Properties
calculated formation energy	-0.24	eV/atom
electronic total energy	-25.3	eV/cell
energy above the most stable polymorph in this dataset	130	meV per atom